(1)
A relaxed KBe2Co crystal. Source: Alexandria, functional PBE-GGA.

Properties
The distance to the lowest polymorph of the same formula comes out at 0.505 eV per atom. The calculation puts the formation energy from the elements at 0.783 eV per atom.

```
KBe2Co
1.0
9.039 -0.022 -0.013
8.629 2.691 -0.013
8.629 1.304 2.354
K Co Be
1 1 2
direct
0.750 0.750 0.750
0.250 0.250 0.250
0.976 0.976 0.976
0.524 0.524 0.524
```



(2)
A relaxed KBe2Co crystal. Source: Alexandria, functional PBE-GGA.

Properties
The distance to the lowest polymorph of the same formula comes out at 0.627 eV per atom. The calculation puts the formation energy from the elements at 0.904 eV per atom.

```
KBe2Co
1.0
-0.306 -3.882 3.977
3.830 0.194 4.034
-4.401 1.942 -2.799
Be Co K
2 1 1
direct
0.743 0.243 0.500
0.944 0.944 0.000
0.559 0.559 0.000
0.254 0.754 0.500
```



(3)
A relaxed KBeCo2 crystal. Source: Alexandria, functional PBE-GGA.

Properties
The calculation puts the formation energy from the elements at 0.547 eV per atom.

```
KBeCo2
1.0
-3.850 1.481 -0.451
-3.794 -1.094 -1.275
-2.167 -1.971 6.011
K Co Be
1 2 1
direct
0.496 0.496 0.499
0.007 0.007 0.996
0.272 0.272 0.121
0.726 0.726 0.884
```



(4)
A relaxed KBe2Co crystal. Source: Alexandria, functional PBE-GGA.

Properties
The distance to the lowest polymorph of the same formula comes out at 0.515 eV per atom. The calculation puts the formation energy from the elements at 0.793 eV per atom.

```
KBe2Co
1.0
-0.249 -4.579 1.268
0.845 -1.292 -4.501
7.221 -2.951 -0.312
Be K Co
4 2 2
direct
0.875 0.625 0.250
0.875 0.125 0.750
0.375 0.125 0.750
0.875 0.125 0.250
0.250 0.750 0.500
0.500 0.500 0.000
0.000 0.000 0.000
0.750 0.250 0.500
```



Which value of formation energy from the elements does entry 1 give?
0.783 eV per atom



Which formula does entry 3 have?
KBeCo2